A plane-wave DFT calculation with PBE with a Hubbard U was carried out for an optimized crystal structure of TiCrIrO6.

Unit cell a=4.610 b=4.610 c=9.121 alpha=90.00 beta=90.00 gamma=90.00
Each line ends with the local moment (μB).
Fractional coordinates of all 18 atoms:
O1 0.196 0.804 0.497  -0.10
O2 0.200 0.800 0.169  -0.10
O3 0.804 0.196 0.832  -0.12
O4 0.304 0.304 0.997  -0.10
O5 0.300 0.300 0.669  -0.10
O6 0.196 0.804 0.832  -0.12
O7 0.700 0.700 0.669  -0.10
O8 0.696 0.696 0.332  -0.12
O9 0.800 0.200 0.169  -0.10
O10 0.696 0.696 0.997  -0.10
O11 0.804 0.196 0.497  -0.10
O12 0.304 0.304 0.332  -0.12
Ir1 0.000 0.000 0.666  -0.71
Ir2 0.500 0.500 0.166  -0.71
Ti1 0.500 0.500 0.836  0.02
Ti2 0.000 0.000 0.336  0.02
Cr1 0.500 0.500 0.501  2.86
Cr2 0.000 0.000 0.001  2.86

## Properties
Its uncorrected energy is -7.793 eV per atom. The value obtained for the density of states at the Fermi level is 0.497 states/eV per atom.